MgFe4Cu3O12 | SCAN | single point on PBEsol structure

Lattice parameters (Å, degrees): 6.0980 6.0980 6.0980 109.47 109.47 109.47
Sites, in units of the cell vectors:
1 Mg 0.0000 0.0000 0.0000
2 Fe 0.0000 0.0000 0.5000
3 Fe 0.0000 0.5000 0.0000
4 Fe 0.5000 0.0000 0.0000
5 Fe 0.5000 0.5000 0.5000
6 Cu 0.0000 0.5000 0.5000
7 Cu 0.5000 0.0000 0.5000
8 Cu 0.5000 0.5000 0.0000
9 O 0.1245 0.8231 0.3015
10 O 0.1769 0.3015 0.4784
11 O 0.1769 0.6985 0.8755
12 O 0.3015 0.1245 0.8231
13 O 0.3015 0.4784 0.1769
14 O 0.4784 0.1769 0.3015
15 O 0.5216 0.8231 0.6985
16 O 0.6985 0.5216 0.8231
17 O 0.6985 0.8755 0.1769
18 O 0.8231 0.3015 0.1245
19 O 0.8231 0.6985 0.5216
20 O 0.8755 0.1769 0.6985

N(E_F), states/eV/cell: 9.163
Formation energy (no corrections), eV per atom: -1.378
VASP energy, eV/atom: -11.272
Magnetization, μB per cell: 5.00